Material: Mg2CrHg2
Method: DFT, PBE
State: relaxed

Values from the calculation:
distance to the lowest polymorph of the same formula	0.1460	eV/atom
space group	P4/mbm, No. 127

a = 7.819 Å, b = 7.819 Å, c = 3.140 Å
α = 90.00°, β = 90.00°, γ = 90.00°
Element x y z (fractional)
Mg  0.637  0.137  0.000
Mg  0.363  0.863  0.000
Mg  0.137  0.363  0.000
Mg  0.863  0.637  0.000
Hg  0.665  0.835  0.500
Hg  0.335  0.165  0.500
Hg  0.835  0.335  0.500
Hg  0.165  0.665  0.500
Cr  0.500  0.500  0.000
Cr  0.000  0.000  0.000

Material: InSnAu
Method: DFT, PBE
State: relaxed

Values from the calculation:
space group	Pnma, No. 62

a = 8.649 Å, b = 4.569 Å, c = 7.617 Å
α = 90.00°, β = 90.00°, γ = 90.00°
Element x y z (fractional)
In  0.988  0.250  0.779
In  0.012  0.750  0.221
In  0.512  0.750  0.279
In  0.488  0.250  0.721
Au  0.882  0.250  0.411
Au  0.118  0.750  0.589
Au  0.382  0.250  0.089
Au  0.618  0.750  0.911
Sn  0.257  0.250  0.430
Sn  0.743  0.750  0.570
Sn  0.243  0.750  0.930
Sn  0.757  0.250  0.070

Material: Cd2CoCu
Method: DFT, PBE
State: relaxed

Values from the calculation:
distance to the lowest polymorph of the same formula	0.0255	eV/atom
space group	Pmmm, No. 47

a = 2.994 Å, b = 3.555 Å, c = 5.970 Å
α = 90.00°, β = 90.00°, γ = 90.00°
Element x y z (fractional)
Co  0.500  0.500  0.250
Cd  0.000  0.000  0.004
Cd  0.000  0.000  0.496
Cu  0.500  0.500  0.750

Material: RbGaSCl2
Method: DFT, PBE
State: relaxed

Values from the calculation:
distance to the lowest polymorph of the same formula	0.0000	eV/atom
space group	P4/mmm, No. 123

a = 5.218 Å, b = 5.218 Å, c = 4.632 Å
α = 90.00°, β = 90.00°, γ = 90.00°
Element x y z (fractional)
Rb  0.500  0.500  0.500
Ga  0.000  0.000  0.000
S  0.000  0.000  0.500
Cl  0.500  0.000  0.000
Cl  0.000  0.500  0.000

Material: Sm4Ho5Th3
Method: DFT, PBE
State: relaxed

Values from the calculation:
space group	C2/m, No. 12

a = 6.009 Å, b = 8.511 Å, c = 9.726 Å
α = 104.71°, β = 72.01°, γ = 69.33°
Element x y z (fractional)
Th  0.000  0.500  0.500
Th  0.470  0.319  0.740
Th  0.530  0.681  0.260
Sm  0.136  0.777  0.950
Sm  0.171  0.041  0.617
Sm  0.829  0.959  0.383
Sm  0.864  0.223  0.050
Ho  0.373  0.054  0.200
Ho  0.627  0.946  0.800
Ho  0.209  0.461  0.121
Ho  0.500  0.500  0.500
Ho  0.791  0.539  0.879

Material: Y5W
Method: DFT, PBE
State: relaxed

Values from the calculation:
distance to the lowest polymorph of the same formula	0.0720	eV/atom
space group	Amm2, No. 38

a = 9.178 Å, b = 9.178 Å, c = 5.440 Å
α = 90.00°, β = 90.00°, γ = 158.34°
Element x y z (fractional)
Y  0.774  0.226  0.500
Y  0.650  0.350  0.000
Y  0.452  0.548  0.500
Y  0.353  0.647  0.000
Y  0.103  0.897  0.500
W  0.003  0.997  0.000

Material: Np2Si4GeIr3
Method: DFT, PBE
State: relaxed

Values from the calculation:
space group	P-4m2, No. 115

a = 4.190 Å, b = 4.190 Å, c = 9.812 Å
α = 90.00°, β = 90.00°, γ = 90.00°
Element x y z (fractional)
Ir  0.000  0.500  0.124
Ir  0.000  0.000  0.500
Ir  0.500  0.000  0.876
Ge  0.500  0.500  0.500
Np  0.000  0.500  0.751
Np  0.500  0.000  0.249
Si  0.500  0.500  0.000
Si  0.000  0.500  0.361
Si  0.500  0.000  0.639
Si  0.000  0.000  0.000

Material: Pu3MgGe3
Method: DFT, PBE
State: relaxed

Values from the calculation:
space group	C2/m, No. 12

a = 6.774 Å, b = 6.774 Å, c = 8.052 Å
α = 85.16°, β = 85.16°, γ = 116.02°
Element x y z (fractional)
Ge  0.022  0.022  0.264
Ge  0.461  0.154  0.225
Ge  0.154  0.461  0.225
Ge  0.978  0.978  0.736
Ge  0.846  0.539  0.775
Ge  0.539  0.846  0.775
Pu  0.231  0.769  0.500
Pu  0.662  0.662  0.106
Pu  0.179  0.821  0.000
Pu  0.338  0.338  0.894
Pu  0.769  0.231  0.500
Pu  0.821  0.179  0.000
Mg  0.297  0.297  0.488
Mg  0.703  0.703  0.512

Material: NaTl8InPb2
Method: DFT, PBE
State: relaxed

Values from the calculation:
space group	I-4m2, No. 119

a = 9.048 Å, b = 9.048 Å, c = 9.048 Å
α = 97.63°, β = 97.63°, γ = 137.26°
Element x y z (fractional)
Tl  0.359  0.613  0.746
Tl  0.387  0.132  0.746
Tl  0.387  0.641  0.254
Tl  0.868  0.613  0.254
Tl  0.360  0.113  0.247
Tl  0.865  0.113  0.753
Tl  0.887  0.640  0.753
Tl  0.887  0.135  0.247
Pb  0.500  0.500  0.000
Pb  0.750  0.250  0.500
In  0.000  0.000  0.000
Na  0.250  0.750  0.500

Material: BeCdAu3
Method: DFT, PBE
State: relaxed

Values from the calculation:
distance to the lowest polymorph of the same formula	0.0000	eV/atom
space group	C2/m, No. 12

a = 3.043 Å, b = 7.132 Å, c = 8.052 Å
α = 103.53°, β = 100.91°, γ = 90.01°
Element x y z (fractional)
Au  0.593  0.503  0.443
Au  0.423  0.816  0.102
Au  0.408  0.409  0.073
Au  0.616  0.924  0.489
Au  0.214  0.301  0.687
Au  0.237  0.722  0.733
Cd  0.812  0.067  0.883
Cd  0.018  0.158  0.292
Be  0.815  0.552  0.888
Be  0.015  0.673  0.287

Material: BePd2Pt
Method: DFT, PBE
State: relaxed

Values from the calculation:
space group	P4/mmm, No. 123

a = 2.767 Å, b = 2.767 Å, c = 7.004 Å
α = 90.00°, β = 90.00°, γ = 90.00°
Element x y z (fractional)
Pd  0.000  0.000  0.202
Pd  0.000  0.000  0.798
Pt  0.500  0.500  0.500
Be  0.500  0.500  0.000

Material: Na2Ga5Pd2Pt
Method: DFT, PBE
State: relaxed

Values from the calculation:
space group	P4/mbm, No. 127

a = 3.421 Å, b = 10.347 Å, c = 10.347 Å
α = 90.00°, β = 90.00°, γ = 90.00°
Element x y z (fractional)
Ga  0.500  0.057  0.812
Ga  0.500  0.000  0.500
Ga  0.500  0.443  0.312
Ga  0.500  0.812  0.943
Ga  0.500  0.943  0.188
Ga  0.500  0.312  0.557
Ga  0.500  0.557  0.688
Ga  0.500  0.500  0.000
Ga  0.500  0.688  0.443
Ga  0.500  0.188  0.057
Na  0.000  0.676  0.176
Na  0.000  0.824  0.676
Na  0.000  0.324  0.824
Na  0.000  0.176  0.324
Pd  0.000  0.626  0.874
Pd  0.000  0.874  0.374
Pd  0.000  0.374  0.126
Pd  0.000  0.126  0.626
Pt  0.000  0.000  0.000
Pt  0.000  0.500  0.500

Let's list VASP energy in order: -2.16, -3.45, -3.02, -3.38, -5.04, -7.21, -8.41, -8.61, -2.35, -3.03, -5.44, -3.76 eV per atom.